Density functional theory data (GGA-PBE) for an optimized crystal structure of CuReAgB.

## Properties
Energy above the lowest structure with this stoichiometry   0 meV per atom
Total DFT energy (no corrections)   -5.337 eV per atom
Magnetization   0.9 μB/f.u.

Structure (POSCAR):
```
CuReAgB
1.0
0.000 2.957 2.957
2.957 0.000 2.957
2.957 2.957 0.000
Cu Re Ag B
1 1 1 1
direct
0.000 0.000 0.000
0.500 0.500 0.500
0.250 0.250 0.250
0.750 0.750 0.750
```